[1]
The following is a PBE-GGA calculation of a relaxed structure of Ba2LiCa4, from Alexandria via LeMat-Bulk.

Summary:
Calculated density, g/cm3: 2.2
DFT total energy, eV/cell: -12.3
N(E_F), states/eV per atom: 1.6492
Total magnetization, μB/cell: 0.9
Space group: I4/mmm (139)

Unit cell a=10.6216 b=10.6216 c=10.6216 alpha=147.72 beta=147.72 gamma=46.29
Sites, in units of the cell vectors:
Ba1 0.1387 0.1387 0.0000
Ba2 0.8613 0.8613 0.0000
Li1 0.5000 0.5000 0.0000
Ca1 0.0000 0.5000 0.5000
Ca2 0.3412 0.3412 0.0000
Ca3 0.5000 0.0000 0.5000
Ca4 0.6588 0.6588 0.0000



[2]
The following is a PBE-GGA calculation of a relaxed structure of AlB3As, from Alexandria via LeMat-Bulk.

Summary:
Calculated density, g/cm3: 3.2
Energy above the lowest structure with this stoichiometry, eV/f.u.: 0.00
DFT total energy, eV/cell: -19.5
N(E_F), states/eV per atom: 0.4990
Total magnetization, μB/cell: 0.0
Space group: Pm-3m (221)

Unit cell a=4.1311 b=4.1311 c=4.1311 alpha=90.00 beta=90.00 gamma=90.00
Sites, in units of the cell vectors:
Al1 0.0000 0.0000 0.0000
B1 0.0000 0.5000 0.5000
B2 0.5000 0.0000 0.5000
B3 0.5000 0.5000 0.0000
As1 0.5000 0.5000 0.5000



[3]
The following is a PBE-GGA calculation of a relaxed structure of ScTa2S, from Alexandria via LeMat-Bulk.

Summary:
Calculated density, g/cm3: 9.7
DFT total energy, eV/cell: -68.0
N(E_F), states/eV per atom: 1.3198
Total magnetization, μB/cell: 0.0
Space group: I-42d (122)
Formation energy without anion corrections, eV/atom: 0.0354

Unit cell a=10.6194 b=10.6194 c=10.6194 alpha=159.22 beta=159.22 gamma=29.56
Sites, in units of the cell vectors:
Sc1 0.0000 0.0000 0.0000
Sc2 0.7500 0.2500 0.5000
Ta1 0.1283 0.6250 0.0033
Ta2 0.3750 0.3783 0.5033
Ta3 0.6217 0.1250 0.9967
Ta4 0.8750 0.8717 0.4967
S1 0.2500 0.7500 0.5000
S2 0.5000 0.5000 0.0000



[4]
The following is a PBE-GGA calculation of a relaxed structure of IrAuBr2, from Alexandria via LeMat-Bulk.

Summary:
Calculated density, g/cm3: 11.6
Energy above the lowest structure with this stoichiometry, eV/f.u.: 3.56
DFT total energy, eV/cell: -11.5
N(E_F), states/eV per atom: 0.5631
Total magnetization, μB/cell: 0.0
Space group: Cmmm (65)
Formation energy without anion corrections, eV/atom: 1.0031

Unit cell a=4.9029 b=4.9029 c=3.2853 alpha=90.00 beta=90.00 gamma=96.09
Sites, in units of the cell vectors:
Ir1 0.0000 0.0000 0.0000
Au1 0.5000 0.5000 0.0000
Br1 0.0000 0.5000 0.5000
Br2 0.5000 0.0000 0.5000



[5]
The following is a PBE-GGA calculation of a relaxed structure of RbHoVI6, from Alexandria via LeMat-Bulk.

Summary:
Calculated density, g/cm3: 4.2
DFT total energy, eV/cell: -67.5
Total magnetization, μB/cell: 6.0
Space group: P-31c (163)
Formation energy without anion corrections, eV/atom: -1.0857

Unit cell a=7.5940 b=7.5940 c=16.7310 alpha=90.00 beta=90.00 gamma=120.00
Sites, in units of the cell vectors:
Rb1 0.0000 0.0000 0.0000
Rb2 0.0000 0.0000 0.5000
Ho1 0.3333 0.6667 0.2500
Ho2 0.6667 0.3333 0.7500
V1 0.3333 0.6667 0.7500
V2 0.6667 0.3333 0.2500
I1 0.0163 0.3742 0.6492
I2 0.0163 0.6420 0.8508
I3 0.3580 0.3742 0.8508
I4 0.3580 0.9837 0.6492
I5 0.3742 0.0163 0.1492
I6 0.3742 0.3580 0.3508
I7 0.6258 0.6420 0.6492
I8 0.6258 0.9837 0.8508
I9 0.6420 0.0163 0.3508
I10 0.6420 0.6258 0.1492
I11 0.9837 0.3580 0.1492
I12 0.9837 0.6258 0.3508



[6]
The following is a PBE-GGA calculation of a relaxed structure of Be2AuSe, from Alexandria via LeMat-Bulk.

Summary:
Calculated density, g/cm3: 8.6
DFT total energy, eV/cell: -12.9
N(E_F), states/eV per atom: 0.3377
Total magnetization, μB/cell: 0.0
Space group: Cmmm (65)
Formation energy without anion corrections, eV/atom: 0.3321

Unit cell a=4.4648 b=4.4648 c=2.8953 alpha=90.00 beta=90.00 gamma=100.45
Sites, in units of the cell vectors:
Be1 0.0000 0.5000 0.0000
Be2 0.5000 0.0000 0.0000
Au1 0.0000 0.0000 0.5000
Se1 0.5000 0.5000 0.5000